Material: SbMoP2
Method: DFT, PBE
State: optimized geometry

Structure (POSCAR):
```
SbMoP2
1.0
2.9052 -3.5482 0.0000
2.9052 3.5482 0.0000
0.0000 0.0000 3.2606
Sb Mo P
1 1 2
Direct
0.0000 0.0000 0.0000 Sb
0.5000 0.5000 0.0000 Mo
0.0000 0.5000 0.5000 P
0.5000 0.0000 0.5000 P
```

Results
As for the symmetry: Cmmm (65). The total magnetic moment comes out at 0.94 μB/cell. The value obtained for the raw formation energy is 0.527 eV/atom.


Material: YHoSn
Method: DFT, PBE
State: optimized geometry

Structure (POSCAR):
```
YHoSn
1.0
6.7934 0.0000 0.0000
0.0000 4.8635 0.0000
0.0000 0.0000 10.1617
Y Ho Sn
4 4 4
Direct
0.0727 0.2500 0.2062 Y
0.4273 0.7500 0.7062 Y
0.5727 0.2500 0.2938 Y
0.9273 0.7500 0.7938 Y
0.1615 0.2500 0.5490 Ho
0.3385 0.7500 0.0490 Ho
0.6615 0.2500 0.9510 Ho
0.8385 0.7500 0.4510 Ho
0.1978 0.2500 0.8722 Sn
0.3022 0.7500 0.3722 Sn
0.6978 0.2500 0.6278 Sn
0.8022 0.7500 0.1278 Sn
```

Results
As for the symmetry: Pnma (62). The total magnetic moment comes out at 0.00 μB/cell. The formation energy from the elements comes out at -0.61 eV/atom.


Material: POs2Br
Method: DFT, PBE
State: optimized geometry

Structure (POSCAR):
```
POs2Br
1.0
1.4179 -2.5223 0.0000
1.4179 2.5223 0.0000
0.0000 0.0000 9.3870
P Os Br
1 2 1
Direct
0.0000 0.0000 0.0000 P
0.5000 0.5000 0.1912 Os
0.5000 0.5000 0.8088 Os
0.0000 0.0000 0.5000 Br
```

Results
As for the symmetry: Cmmm (65). The total magnetic moment comes out at 0.00 μB/cell. The value obtained for the raw formation energy is 0.802 eV/atom.


Material: CsTe2MoN
Method: DFT, PBE
State: optimized geometry

Structure (POSCAR):
```
CsTe2MoN
1.0
5.8448 0.0000 0.0000
0.0000 5.8448 0.0000
0.0000 0.0000 3.8840
Cs Te Mo N
1 2 1 1
Direct
0.0000 0.0000 0.0000 Cs
0.0000 0.5000 0.5000 Te
0.5000 0.0000 0.5000 Te
0.5000 0.5000 0.5000 Mo
0.5000 0.5000 0.0000 N
```

Results
As for the symmetry: P4/mmm (123). The total magnetic moment comes out at 0.00 μB/cell. The value obtained for the raw formation energy is 0.035 eV/atom.


Material: Ac2Sc2Sn2H
Method: DFT, PBE
State: optimized geometry

Structure (POSCAR):
```
Ac2Sc2Sn2H
1.0
-2.3226 2.3226 8.6628
2.3226 -2.3226 8.6628
2.3226 2.3226 -8.6628
Ac Sc Sn H
2 2 2 1
Direct
0.1752 0.1752 0.0000 Ac
0.8248 0.8248 0.0000 Ac
0.0000 0.5000 0.5000 Sc
0.5000 0.0000 0.5000 Sc
0.3826 0.3826 0.0000 Sn
0.6174 0.6174 0.0000 Sn
0.0000 0.0000 0.0000 H
```

Results
As for the symmetry: I4/mmm (139). The total magnetic moment comes out at 2.03 μB/cell. The calculation puts the final energy at -5.243 eV per atom.


Material: Sm4Ag2Ge
Method: DFT, PBE
State: optimized geometry

Structure (POSCAR):
```
Sm4Ag2Ge
1.0
2.5908 1.4958 8.3525
-2.5908 1.4958 8.3525
0.0000 -2.9915 8.3525
Sm Ag Ge
4 2 1
Direct
0.1237 0.1237 0.1237 Sm
0.3756 0.3756 0.3756 Sm
0.6244 0.6244 0.6244 Sm
0.8763 0.8763 0.8763 Sm
0.2512 0.2512 0.2512 Ag
0.7488 0.7488 0.7488 Ag
0.5000 0.5000 0.5000 Ge
```

Results
As for the symmetry: R-3m (166). The total magnetic moment comes out at 1.37 μB/cell. The formation energy from the elements comes out at -0.26 eV/atom.


Material: CeFeB2Ru
Method: DFT, PBE
State: optimized geometry

Structure (POSCAR):
```
CeFeB2Ru
1.0
-1.8986 1.8986 4.7135
1.8986 -1.8986 4.7135
1.8986 1.8986 -4.7135
Ce Fe B Ru
1 1 2 1
Direct
0.0000 0.0000 0.0000 Ce
0.7500 0.2500 0.5000 Fe
0.3431 0.3431 0.0000 B
0.6569 0.6569 0.0000 B
0.2500 0.7500 0.5000 Ru
```

Results
As for the symmetry: I-4m2 (119). The total magnetic moment comes out at 0.18 μB/cell. The formation energy from the elements comes out at -0.38 eV/atom.


Material: Er4Te3H2
Method: DFT, PBE
State: optimized geometry

Structure (POSCAR):
```
Er4Te3H2
1.0
6.7274 -1.9716 0.0000
6.7274 1.9716 0.0000
-4.0184 0.0000 7.4772
Er Te H
4 3 2
Direct
0.1038 0.1038 0.4098 Er
0.3150 0.3150 0.8908 Er
0.6850 0.6850 0.1092 Er
0.8962 0.8962 0.5902 Er
0.0000 0.0000 0.0000 Te
0.3819 0.3819 0.2933 Te
0.6181 0.6181 0.7067 Te
0.3023 0.3023 0.6164 H
0.6977 0.6977 0.3836 H
```

Results
As for the symmetry: C2/m (12). The total magnetic moment comes out at 0.00 μB/cell. The calculation puts the final energy at -4.759 eV per atom.


Material: Cs2NpI4F2
Method: DFT, PBE
State: optimized geometry

Structure (POSCAR):
```
Cs2NpI4F2
1.0
6.6842 -4.4182 0.0000
6.6842 4.4182 0.0000
-1.3039 0.0000 6.5268
Cs Np I F
2 1 4 2
Direct
0.1684 0.1684 0.3200 Cs
0.8316 0.8316 0.6800 Cs
0.5000 0.5000 0.0000 Np
0.1457 0.6509 0.2047 I
0.3491 0.8543 0.7953 I
0.6509 0.1457 0.2047 I
0.8543 0.3491 0.7953 I
0.3768 0.3768 0.7592 F
0.6232 0.6232 0.2408 F
```

Results
As for the symmetry: C2/m (12). The total magnetic moment comes out at 3.00 μB/cell. The value obtained for the raw formation energy is -1.872 eV/atom.


Material: RbTl4Bi
Method: DFT, PBE
State: optimized geometry

Structure (POSCAR):
```
RbTl4Bi
1.0
10.7417 0.0000 0.0000
0.0000 4.5884 0.0000
0.0000 0.0000 9.0882
Rb Tl Bi
2 8 2
Direct
0.2500 0.0000 0.1416 Rb
0.7500 0.0000 0.8584 Rb
0.0000 0.0000 0.5000 Tl
0.0363 0.5000 0.7970 Tl
0.2500 0.5000 0.4723 Tl
0.4637 0.5000 0.7970 Tl
0.5000 0.0000 0.5000 Tl
0.5363 0.5000 0.2030 Tl
0.7500 0.5000 0.5277 Tl
0.9637 0.5000 0.2030 Tl
0.2500 0.0000 0.7399 Bi
0.7500 0.0000 0.2601 Bi
```

Results
As for the symmetry: Pmma (51). The total magnetic moment comes out at 0.00 μB/cell. The formation energy from the elements comes out at -0.09 eV/atom.